Sm2ScVO6 after structural relaxation. Source: Alexandria via LeMat-Bulk, functional GGA+U.

abc: 5.489 5.753 9.630
angles: 90.00 124.46 90.00
Space group P2_1/c (No. 14)
Asymmetric unit:
Sm (0.232, 0.062, 0.250) x4
Sc (0.500, 0.000, 0.000) x2
V (0.000, 0.000, 0.500) x2
O (0.134, 0.203, 0.942) x4
O (0.243, 0.697, 0.942) x4
O (0.358, 0.040, 0.747) x4

As for the theoretical density: 6.52 g/cm3. The value obtained for the total DFT energy (no corrections) is -8.452 eV per atom.